An optimized crystal structure of Li2MnF, computed with GGA+U.

Calculated values
SG: Fm-3m
magnetization: 5.03 μB/f.u.
total energy: -3.612 eV/atom
DOS at the Fermi energy: 1.71 states/eV/cell
crystal system: cubic

a = 4.6472 Å, b = 4.6472 Å, c = 4.6472 Å
α = 60.00°, β = 60.00°, γ = 60.00°
Fractional positions:
F 0.0000 0.0000 0.0000
Li 0.7500 0.7500 0.7500
Li 0.2500 0.2500 0.2500
Mn 0.5000 0.5000 0.5000